1.
Below is crystalline BaIrO2 at its relaxed geometry, with properties calculated at the PBE-GGA level.

**Symmetry**: Fm-3m, No. 225

Lattice parameters (Å, degrees): 4.4625 4.4625 4.4625 60.00 60.00 60.00
Last column: magnetic moment on the atom in μB.
Positions (direct):
O1 0.7500 0.7500 0.7500  0.39
O2 0.2500 0.2500 0.2500  0.39
Ba1 0.0000 0.0000 0.0000  0.00
Ir1 0.5000 0.5000 0.5000  2.04

***

2.
Below is crystalline Ba6IrO at its relaxed geometry, with properties calculated at the PBE-GGA level.

**Symmetry**: C2/m, No. 12

Lattice parameters (Å, degrees): 7.4906 7.7356 7.7356 59.98 90.03 89.97
Positions (direct):
Ba1 0.2664 0.7279 0.0208
Ba2 0.2660 0.3137 0.7277
Ba3 0.7336 0.3136 0.0207
Ba4 0.7336 0.0208 0.7279
Ba5 0.2664 0.0207 0.3136
Ba6 0.7340 0.7277 0.3137
Ir1 0.0000 0.0208 0.0208
O1 0.5000 0.0207 0.0207

***

3.
Below is crystalline Ba3IrO7 at its relaxed geometry, with properties calculated at the PBE-GGA level.

**Symmetry**: P4/mbm, No. 127

Lattice parameters (Å, degrees): 5.7126 7.9654 7.9654 90.00 90.00 90.00
Last column: magnetic moment on the atom in μB.
Positions (direct):
O1 0.0000 0.6700 0.8300  0.09
O2 0.5000 0.5000 0.5000  0.06
O3 0.0000 0.8300 0.3300  0.09
O4 0.5000 0.0000 0.0000  0.06
O5 0.7622 0.8829 0.6171  0.05
O6 0.2378 0.6171 0.1171  0.05
O7 0.0000 0.3300 0.1700  0.09
O8 0.2378 0.3829 0.8829  0.05
O9 0.2378 0.1171 0.3829  0.05
O10 0.2378 0.8829 0.6171  0.05
O11 0.0000 0.1700 0.6700  0.09
O12 0.7622 0.1171 0.3829  0.05
O13 0.7622 0.6171 0.1171  0.05
O14 0.7622 0.3829 0.8829  0.05
Ba1 0.5000 0.8165 0.3165  0.01
Ba2 0.5000 0.6835 0.8165  0.01
Ba3 0.0000 0.5000 0.5000  0.02
Ba4 0.5000 0.1835 0.6835  0.01
Ba5 0.0000 0.0000 0.0000  0.02
Ba6 0.5000 0.3165 0.1835  0.01
Ir1 0.0000 0.5000 0.0000  0.55
Ir2 0.0000 0.0000 0.5000  0.55

***

4.
Below is crystalline Ba2IrO4 at its relaxed geometry, with properties calculated at the PBE-GGA level.

**Excess energy over the best structure of this formula in the dataset**: 0.00 eV/f.u.
**Symmetry**: P4/mmm, No. 123

Lattice parameters (Å, degrees): 3.6914 6.1365 6.1365 90.00 90.00 90.00
Last column: magnetic moment on the atom in μB.
Positions (direct):
Ba1 0.5000 0.5000 0.0000  0.02
Ba2 0.5000 0.0000 0.5000  0.02
O1 0.0000 0.7774 0.2226  0.25
O2 0.0000 0.7774 0.7774  0.25
O3 0.0000 0.2226 0.7774  0.25
O4 0.0000 0.2226 0.2226  0.25
Ir1 0.0000 0.0000 0.0000  1.63

***

Calculated total magnetic moment, 2.97, 0.00, 1.22, 2.99 μB/f.u. (same order as the records).
Calculated total energy, -21.7, -30.3, -137.1, -45.6 eV per cell (same order as the records).